Record 1
Material: H5Pd5Pt
Method: DFT, PBE-GGA
State: relaxed

Properties
Total DFT energy (no corrections): -4.47 eV/atom

Cell lengths 3.511, 5.856, 5.817 Å; angles 105.08, 90.14, 107.61 degrees
Sites, in units of the cell vectors:
H 0.770 0.545 0.144
H 0.105 0.213 0.307
H 0.230 0.455 0.856
H 0.500 0.000 0.000
H 0.895 0.787 0.693
Pd 0.330 0.660 0.659
Pd 0.338 0.676 0.169
Pd 0.662 0.324 0.831
Pd 0.670 0.340 0.341
Pd 0.000 0.000 0.500
Pt 0.000 0.000 0.000

=====

Record 2
Material: HPd4Pt
Method: DFT, PBE-GGA
State: relaxed

Properties
Offset from the most stable computed form: 0.0 meV per atom

Cell lengths 2.746, 4.186, 7.329 Å; angles 105.97, 90.00, 90.00 degrees
Sites, in units of the cell vectors:
Pt 0.500 0.500 0.500
Pd 0.500 0.310 0.117
Pd 0.500 0.690 0.883
Pd 0.000 0.104 0.697
Pd 0.000 0.896 0.303
H 0.000 0.000 0.000

=====

Record 3
Material: H2PdPt
Method: DFT, PBE-GGA
State: relaxed

Properties
Offset from the most stable computed form: 493.9 meV per atom

Cell lengths 3.788, 3.788, 3.788 Å; angles 60.00, 60.00, 60.00 degrees
Sites, in units of the cell vectors:
Pd 0.000 0.000 0.000
H 0.250 0.250 0.250
H 0.750 0.750 0.750
Pt 0.500 0.500 0.500